Here is an optimized crystal structure of CsCuReS3 from OQMD. Energies are from PBE-GGA.

The calculation puts the total energy at -5.297 eV per atom. Its space group is Cmcm, No. 63. For the total magnetization, the calculation gives 0.371 μB/atom.

The structure in POSCAR format:
```
CsCuReS3
1.0
1.8372 -7.7847 0.0000
1.8372 7.7847 0.0000
0.0000 0.0000 9.4337
Cs Cu Re S
2 2 2 6
Cartesian
1.8372 3.9043 7.0753
1.8372 -3.9043 2.3584
1.8372 7.2823 2.3584
1.8372 -7.2823 7.0753
1.8372 0.0000 0.0000
1.8372 0.0000 4.7169
1.8372 6.1856 0.3930
1.8372 6.1856 4.3238
1.8372 0.8933 2.3584
1.8372 -0.8933 7.0753
1.8372 -6.1856 5.1099
1.8372 -6.1856 9.0407
```

***

Here is an optimized crystal structure of CsFeAuSeS2 from OQMD. Energies are from PBE-GGA.

The calculation puts the total energy at -4.316 eV per atom. Its space group is Cmcm, No. 63. For the total magnetization, the calculation gives 0.306 μB/atom.

The structure in POSCAR format:
```
CsFeAuSeS2
1.0
1.7914 -8.4867 0.0000
1.7914 8.4867 0.0000
0.0000 0.0000 10.0122
Cs Fe Au Se S
2 2 2 2 4
Cartesian
1.7914 4.5034 7.5091
1.7914 -4.5034 2.5030
1.7914 0.0000 0.0000
1.7914 0.0000 5.0061
1.7914 7.0542 2.5030
1.7914 -7.0542 7.5091
1.7914 0.8581 2.5030
1.7914 -0.8581 7.5091
1.7914 6.9786 0.1649
1.7914 6.9786 4.8412
1.7914 -6.9786 5.1710
1.7914 -6.9786 9.8472
```